No. 1
DFT (GGA-PBEsol) results for a geometry-optimized Ba4TiP4 structure.

a b c (Å): 13.090 13.090 13.090
angles (deg): 90.00 90.00 90.00
Positions (direct):
Ba 0.091 0.137 0.649
Ba 0.091 0.863 0.351
Ba 0.137 0.351 0.909
Ba 0.137 0.649 0.091
Ba 0.149 0.149 0.149
Ba 0.149 0.363 0.409
Ba 0.149 0.637 0.591
Ba 0.149 0.851 0.851
Ba 0.351 0.091 0.863
Ba 0.351 0.351 0.649
Ba 0.351 0.649 0.351
Ba 0.351 0.909 0.137
Ba 0.363 0.409 0.149
Ba 0.363 0.591 0.851
Ba 0.409 0.149 0.363
Ba 0.409 0.851 0.637
Ba 0.591 0.149 0.637
Ba 0.591 0.851 0.363
Ba 0.637 0.409 0.851
Ba 0.637 0.591 0.149
Ba 0.649 0.091 0.137
Ba 0.649 0.351 0.351
Ba 0.649 0.649 0.649
Ba 0.649 0.909 0.863
Ba 0.851 0.149 0.851
Ba 0.851 0.363 0.591
Ba 0.851 0.637 0.409
Ba 0.851 0.851 0.149
Ba 0.863 0.351 0.091
Ba 0.863 0.649 0.909
Ba 0.909 0.137 0.351
Ba 0.909 0.863 0.649
Ti 0.000 0.000 0.000
Ti 0.000 0.500 0.250
Ti 0.000 0.500 0.750
Ti 0.250 0.000 0.500
Ti 0.500 0.250 0.000
Ti 0.500 0.500 0.500
Ti 0.500 0.750 0.000
Ti 0.750 0.000 0.500
P 0.104 0.389 0.650
P 0.104 0.611 0.350
P 0.105 0.105 0.895
P 0.105 0.895 0.105
P 0.111 0.396 0.150
P 0.111 0.604 0.850
P 0.150 0.111 0.396
P 0.150 0.889 0.604
P 0.350 0.104 0.611
P 0.350 0.896 0.389
P 0.389 0.350 0.896
P 0.389 0.650 0.104
P 0.395 0.395 0.395
P 0.395 0.605 0.605
P 0.396 0.150 0.111
P 0.396 0.850 0.889
P 0.604 0.150 0.889
P 0.604 0.850 0.111
P 0.605 0.395 0.605
P 0.605 0.605 0.395
P 0.611 0.350 0.104
P 0.611 0.650 0.896
P 0.650 0.104 0.389
P 0.650 0.896 0.611
P 0.850 0.111 0.604
P 0.850 0.889 0.396
P 0.889 0.396 0.850
P 0.889 0.604 0.150
P 0.895 0.105 0.105
P 0.895 0.895 0.895
P 0.896 0.389 0.350
P 0.896 0.611 0.650

Output
As for the size of the total moment: 0.000 μB/cell. The value obtained for the formation energy is -1.05 eV/atom. As for the volume: 31.15 Å³/atom. The space-group type is No. 218.



No. 2
DFT (GGA-PBEsol) results for a geometry-optimized RuSIN2 structure.

a b c (Å): 3.858 3.858 5.357
angles (deg): 90.00 90.00 90.00
Positions (direct):
Ru 0.000 0.000 0.000
S 0.500 0.500 0.000
I 0.500 0.500 0.500
N 0.000 0.500 0.500
N 0.500 0.000 0.500

Output
As for the size of the total moment: 3.006 μB/cell. As for the volume: 15.94 Å³/atom. The total DFT energy (no corrections) is -4.49 eV per atom. The space-group type is No. 123.